# 1
Ac2Sm2Dy7: optimized geometry, GGA-PBE.

Values from the calculation:
E = -4.40 eV/atom
ΔE_f = 0.13 eV per atom

abc: 17.729 11.962 3.720
angles: 90.00 102.10 90.00
Space group C2/m (No. 12)
One atom of each set of equivalent atoms:
Ac 0.193 0.000 0.192 [4 per cell]
Sm 0.000 0.247 0.000 [4 per cell]
Dy 0.000 0.000 0.500 [2 per cell]
Dy 0.109 0.500 0.110 [4 per cell]
Dy 0.167 0.267 0.667 [8 per cell]

---

# 2
Ac2Sm2Dy3: optimized geometry, GGA-PBE.

Values from the calculation:
E = -4.33 eV/atom
ΔE_f = 0.17 eV per atom

abc: 5.776 24.321 3.579
angles: 90.00 90.00 90.00
Space group Cmmm (No. 65)
One atom of each set of equivalent atoms:
Ac 0.000 0.077 0.000 [4 per cell]
Sm 0.000 0.349 0.500 [4 per cell]
Dy 0.000 0.218 0.000 [4 per cell]
Dy 0.000 0.500 0.000 [2 per cell]

---

# 3
Ac2Sm8Dy: optimized geometry, GGA-PBE.

Values from the calculation:
E = -4.42 eV/atom
ΔE_f = 0.17 eV per atom
Distance to the lowest polymorph of the same formula = 0.0 meV per atom

abc: 14.559 6.925 8.144
angles: 90.00 104.71 90.00
Space group C2/m (No. 12)
One atom of each set of equivalent atoms:
Ac 0.173 0.000 0.248 [4 per cell]
Sm 0.069 0.265 0.855 [8 per cell]
Sm 0.106 0.500 0.473 [4 per cell]
Sm 0.242 0.500 0.192 [4 per cell]
Dy 0.000 0.000 0.500 [2 per cell]

---

# 4
AcSm5Dy3: optimized geometry, GGA-PBE.

Values from the calculation:
E = -4.07 eV/atom
ΔE_f = 0.54 eV per atom
Distance to the lowest polymorph of the same formula = 457.0 meV per atom

abc: 12.253 11.748 10.029
angles: 90.00 104.12 90.00
Space group C2/m (No. 12)
One atom of each set of equivalent atoms:
Ac 0.236 0.000 0.226 [4 per cell]
Sm 0.000 0.254 0.000 [4 per cell]
Sm 0.136 0.247 0.629 [8 per cell]
Sm 0.237 0.500 0.417 [4 per cell]
Sm 0.246 0.000 0.900 [4 per cell]
Dy 0.000 0.000 0.000 [2 per cell]
Dy 0.000 0.500 0.500 [2 per cell]
Dy 0.002 0.500 0.171 [4 per cell]
Dy 0.006 0.000 0.344 [4 per cell]

---

# 5
AcSm10Dy4: optimized geometry, GGA-PBE.

Values from the calculation:
E = -4.15 eV/atom
ΔE_f = 0.49 eV per atom

abc: 12.743 12.743 6.861
angles: 90.00 90.00 90.00
Space group I4/m (No. 87)
One atom of each set of equivalent atoms:
Ac 0.000 0.000 0.000 [2 per cell]
Sm 0.000 0.500 0.250 [4 per cell]
Sm 0.129 0.709 0.249 [16 per cell]
Dy 0.067 0.179 0.500 [8 per cell]

---

# 6
Ac3Sm6Dy: optimized geometry, GGA-PBE.

Values from the calculation:
E = -4.15 eV/atom
ΔE_f = 0.37 eV per atom

abc: 10.1518 10.1518 12.8683
angles: 90.00 90.00 120.00
Space group R-3 (No. 148, hexagonal axes)
One atom of each set of equivalent atoms:
Ac 0.0000 0.0000 0.0000 [3 per cell]
Ac 0.0000 0.0000 0.2580 [6 per cell]
Sm 0.0000 0.3262 0.4234 [18 per cell]
Dy 0.0000 0.0000 0.5000 [3 per cell]

---

# 7
Ac3Sm4Dy2: optimized geometry, GGA-PBE.

Values from the calculation:
E = -4.45 eV/atom
ΔE_f = 0.04 eV per atom

abc: 6.485 6.490 9.319
angles: 97.11 96.25 119.74
Space group P-1 (No. 2)
One atom of each set of equivalent atoms:
Ac 0.000 0.000 0.000 [1 per cell]
Ac 0.453 0.119 0.334 [2 per cell]
Sm 0.109 0.447 0.332 [2 per cell]
Sm 0.333 0.658 0.002 [2 per cell]
Dy 0.216 0.221 0.665 [2 per cell]

---

# 8
AcSm2Dy: optimized geometry, GGA-PBE.

Values from the calculation:
E = -4.50 eV/atom
ΔE_f = 0.04 eV per atom
Distance to the lowest polymorph of the same formula = 0.0 meV per atom

abc: 5.205 5.205 5.258
angles: 90.00 90.00 90.00
Space group P4/mmm (No. 123)
One atom of each set of equivalent atoms:
Ac 0.000 0.000 0.000 [1 per cell]
Sm 0.000 0.500 0.500 [2 per cell]
Dy 0.500 0.500 0.000 [1 per cell]

---

# 9
Ac2Sm2Dy5: optimized geometry, GGA-PBE.

Values from the calculation:
E = -4.31 eV/atom
ΔE_f = 0.21 eV per atom

abc: 22.108 3.622 8.343
angles: 90.00 98.72 90.00
Space group C2/m (No. 12)
One atom of each set of equivalent atoms:
Ac 0.181 0.000 0.135 [4 per cell]
Sm 0.047 0.500 0.351 [4 per cell]
Dy 0.000 0.000 0.000 [2 per cell]
Dy 0.093 0.000 0.721 [4 per cell]
Dy 0.190 0.500 0.530 [4 per cell]

---

# 10
AcSm4Dy4: optimized geometry, GGA-PBE.

Values from the calculation:
E = -4.57 eV/atom
ΔE_f = 0.03 eV per atom

abc: 6.284 7.256 14.066
angles: 82.64 89.92 73.09
Space group P-1 (No. 2)
One atom of each set of equivalent atoms:
Ac 0.112 0.417 0.222 [2 per cell]
Sm 0.001 0.245 0.000 [2 per cell]
Sm 0.223 0.082 0.446 [2 per cell]
Sm 0.333 0.752 0.665 [2 per cell]
Sm 0.337 0.248 0.666 [2 per cell]
Dy 0.113 0.916 0.222 [2 per cell]
Dy 0.222 0.584 0.446 [2 per cell]
Dy 0.440 0.920 0.890 [2 per cell]
Dy 0.445 0.413 0.892 [2 per cell]

---

# 11
Ac2SmDy5: optimized geometry, GGA-PBE.

Values from the calculation:
E = -4.44 eV/atom
ΔE_f = 0.05 eV per atom

abc: 5.251 5.251 20.202
angles: 90.00 90.00 90.00
Space group I4/mmm (No. 139)
One atom of each set of equivalent atoms:
Ac 0.000 0.000 0.250 [4 per cell]
Sm 0.000 0.000 0.000 [2 per cell]
Dy 0.000 0.000 0.500 [2 per cell]
Dy 0.000 0.500 0.119 [8 per cell]

---

# 12
Ac2Sm4Dy7: optimized geometry, GGA-PBE.

Values from the calculation:
E = -4.36 eV/atom
ΔE_f = 0.20 eV per atom

abc: 6.2124 6.2124 13.5305
angles: 90.00 90.00 120.00
Space group P-31m (No. 162)
One atom of each set of equivalent atoms:
Ac 0.3333 0.6667 0.0000 [2 per cell]
Sm 0.0000 0.0000 0.3947 [2 per cell]
Sm 0.3333 0.6667 0.5000 [2 per cell]
Dy 0.0000 0.0000 0.0000 [1 per cell]
Dy 0.0000 0.3535 0.7816 [6 per cell]

---

# 13
AcSm4Dy2: optimized geometry, GGA-PBE.

Values from the calculation:
E = -4.56 eV/atom
ΔE_f = 0.04 eV per atom
Distance to the lowest polymorph of the same formula = 0.0 meV per atom

abc: 6.972 8.658 9.462
angles: 65.18 71.46 76.59
Space group P1 (No. 1)
One atom of each set of equivalent atoms:
Ac 0.000 0.000 0.000 [1 per cell]
Ac 0.473 0.891 0.131 [1 per cell]
Sm 0.043 0.185 0.272 [1 per cell]
Sm 0.287 0.138 0.573 [1 per cell]
Sm 0.432 0.703 0.859 [1 per cell]
Sm 0.564 0.285 0.151 [1 per cell]
Sm 0.618 0.468 0.415 [1 per cell]
Sm 0.717 0.846 0.440 [1 per cell]
Sm 0.758 0.042 0.692 [1 per cell]
Sm 0.911 0.606 0.979 [1 per cell]
Dy 0.136 0.556 0.299 [1 per cell]
Dy 0.186 0.751 0.559 [1 per cell]
Dy 0.338 0.334 0.833 [1 per cell]
Dy 0.857 0.425 0.717 [1 per cell]

---

# 14
AcSm5Dy3: optimized geometry, GGA-PBE.

Values from the calculation:
E = -4.53 eV/atom
ΔE_f = 0.08 eV per atom
Distance to the lowest polymorph of the same formula = 0.0 meV per atom

abc: 15.336 10.047 9.124
angles: 90.00 119.36 90.00
Space group C2/c (No. 15)
One atom of each set of equivalent atoms:
Ac 0.000 0.094 0.250 [4 per cell]
Sm 0.000 0.436 0.250 [4 per cell]
Sm 0.167 0.102 0.076 [8 per cell]
Sm 0.174 0.427 0.098 [8 per cell]
Dy 0.084 0.254 0.666 [8 per cell]
Dy 0.250 0.250 0.500 [4 per cell]

---

# 15
Ac6SmDy3: optimized geometry, GGA-PBE.

Values from the calculation:
E = -4.21 eV/atom
ΔE_f = 0.10 eV per atom

abc: 13.617 3.798 16.786
angles: 90.00 113.22 90.00
Space group P2_1/m (No. 11)
One atom of each set of equivalent atoms:
Ac 0.048 0.250 0.207 [2 per cell]
Ac 0.241 0.250 0.587 [2 per cell]
Ac 0.265 0.750 0.400 [2 per cell]
Ac 0.310 0.750 0.200 [2 per cell]
Ac 0.366 0.750 0.996 [2 per cell]
Ac 0.433 0.750 0.794 [2 per cell]
Sm 0.120 0.250 0.998 [2 per cell]
Dy 0.018 0.750 0.411 [2 per cell]
Dy 0.195 0.250 0.802 [2 per cell]
Dy 0.500 0.250 0.405 [2 per cell]

---

# 16
Ac2Sm5Dy6: optimized geometry, GGA-PBE.

Values from the calculation:
E = -4.46 eV/atom
ΔE_f = 0.11 eV per atom

abc: 11.980 20.599 3.664
angles: 90.00 90.00 90.00
Space group Pbam (No. 55)
One atom of each set of equivalent atoms:
Ac 0.165 0.222 0.000 [4 per cell]
Sm 0.000 0.500 0.500 [2 per cell]
Sm 0.096 0.784 0.500 [4 per cell]
Sm 0.201 0.053 0.500 [4 per cell]
Dy 0.060 0.926 0.000 [4 per cell]
Dy 0.072 0.638 0.000 [4 per cell]
Dy 0.183 0.380 0.500 [4 per cell]

---

# 17
AcSm2Dy: optimized geometry, GGA-PBE.

Values from the calculation:
E = -4.49 eV/atom
ΔE_f = 0.05 eV per atom
Distance to the lowest polymorph of the same formula = 9.7 meV per atom

abc: 3.7170 3.7170 35.9795
angles: 90.00 90.00 120.00
Space group R3m (No. 160, hexagonal axes)
One atom of each set of equivalent atoms:
Ac 0.0000 0.0000 0.0000 [3 per cell]
Sm 0.0000 0.0000 0.5792 [3 per cell]
Sm 0.0000 0.0000 0.7539 [3 per cell]
Dy 0.0000 0.0000 0.1664 [3 per cell]

---

# 18
AcSm5Dy6: optimized geometry, GGA-PBE.

Values from the calculation:
E = -4.59 eV/atom
ΔE_f = 0.02 eV per atom

abc: 6.272 10.865 11.911
angles: 90.00 100.11 90.00
Space group C2/m (No. 12)
One atom of each set of equivalent atoms:
Ac 0.000 0.000 0.000 [2 per cell]
Sm 0.000 0.167 0.500 [4 per cell]
Sm 0.000 0.333 0.000 [4 per cell]
Sm 0.000 0.500 0.500 [2 per cell]
Dy 0.248 0.332 0.747 [8 per cell]
Dy 0.249 0.500 0.253 [4 per cell]

---

# 19
Ac2Sm5Dy4: optimized geometry, GGA-PBE.

Values from the calculation:
E = -4.53 eV/atom
ΔE_f = 0.04 eV per atom

abc: 6.328 8.191 8.200
angles: 107.43 97.28 104.85
Space group P-1 (No. 2)
One atom of each set of equivalent atoms:
Ac 0.138 0.047 0.232 [2 per cell]
Sm 0.227 0.414 0.046 [2 per cell]
Sm 0.411 0.141 0.685 [2 per cell]
Sm 0.500 0.500 0.500 [1 per cell]
Dy 0.048 0.675 0.409 [2 per cell]
Dy 0.319 0.767 0.863 [2 per cell]

---

# 20
AcSm3Dy7: optimized geometry, GGA-PBE.

Values from the calculation:
E = -4.39 eV/atom
ΔE_f = 0.20 eV per atom
Distance to the lowest polymorph of the same formula = 0.0 meV per atom

abc: 7.1317 7.1317 8.7604
angles: 90.00 90.00 120.00
Space group P3m1 (No. 156)
One atom of each set of equivalent atoms:
Ac 0.0000 0.0000 0.0000 [1 per cell]
Sm 0.1681 0.3361 0.6584 [3 per cell]
Dy 0.0023 0.5011 0.9998 [3 per cell]
Dy 0.3333 0.6667 0.3249 [1 per cell]
Dy 0.3340 0.1670 0.3302 [3 per cell]